[1]
VASP calculation (PBE-GGA) on a relaxed ThCu4Pd crystal.

## Properties
space-group type: No. 216
energy of formation: -0.34 eV per atom
ρ: 10535 kg/m3
Fermi-level density of states: 3.930 states/eV/cell

Cell lengths 5.093, 5.093, 5.093 Å; angles 60.00, 60.00, 60.00 degrees
Fractional coordinates of all 6 atoms:
Pd (0.000, 0.000, 0.000)
Th (0.250, 0.250, 0.250)
Cu (0.627, 0.120, 0.627)
Cu (0.627, 0.627, 0.627)
Cu (0.120, 0.627, 0.627)
Cu (0.627, 0.627, 0.120)

---

[2]
VASP calculation (PBE-GGA) on a relaxed LiCaDyPt crystal.

## Properties
space-group type: No. 216
energy of formation: -0.59 eV per atom
ρ: 7639 kg/m3
Fermi-level density of states: 3.536 states/eV/cell

Cell lengths 4.992, 4.992, 4.992 Å; angles 60.00, 60.00, 60.00 degrees
Fractional coordinates of all 4 atoms:
Dy (0.000, 0.000, 0.000)
Ca (0.500, 0.500, 0.500)
Pt (0.250, 0.250, 0.250)
Li (0.750, 0.750, 0.750)

---

[3]
VASP calculation (PBE-GGA) on a relaxed GdHoGaCo crystal.

## Properties
space-group type: No. 216
energy of formation: -0.32 eV per atom
ρ: 8828 kg/m3
Fermi-level density of states: 2.953 states/eV/cell

Cell lengths 4.931, 4.931, 4.931 Å; angles 60.00, 60.00, 60.00 degrees
Each line ends with the local moment (μB).
Fractional coordinates of all 4 atoms:
Co (0.750, 0.750, 0.750)  -1.22
Ga (0.250, 0.250, 0.250)  -0.06
Gd (0.500, 0.500, 0.500)  7.09
Ho (0.000, 0.000, 0.000)  0.11

---

[4]
VASP calculation (PBE-GGA) on a relaxed Hf2PbSe crystal.

## Properties
space-group type: No. 122
ρ: 8655 kg/m3
Fermi-level density of states: 7.049 states/eV/cell
formation energy (no corrections): 0.266 eV/atom

Cell lengths 6.230, 6.230, 7.736 Å; angles 66.26, 66.26, 90.00 degrees
Fractional coordinates of all 8 atoms:
Hf (0.875, 0.845, 0.750)
Se (0.250, 0.750, 0.500)
Hf (0.155, 0.625, 0.250)
Hf (0.375, 0.405, 0.750)
Hf (0.595, 0.125, 0.250)
Pb (0.000, 0.000, 0.000)
Pb (0.750, 0.250, 0.500)
Se (0.500, 0.500, 0.000)

---

[5]
VASP calculation (PBE-GGA) on a relaxed TaRhCl2 crystal.

## Properties
space-group type: No. 12
ρ: 8804 kg/m3
Fermi-level density of states: 2.482 states/eV/cell
formation energy (no corrections): 0.164 eV/atom

Cell lengths 5.265, 5.265, 3.067 Å; angles 70.46, 70.46, 107.42 degrees
Fractional coordinates of all 4 atoms:
Ta (0.000, 0.500, 0.500)
Cl (0.000, 0.000, 0.000)
Cl (0.500, 0.500, 0.000)
Rh (0.500, 0.000, 0.500)

---

[6]
VASP calculation (PBE-GGA) on a relaxed ZrPb3Au crystal.

## Properties
space-group type: No. 221
energy of formation: 0.69 eV per atom
ρ: 9228 kg/m3
Fermi-level density of states: 5.129 states/eV/cell

Cell lengths 5.470, 5.470, 5.470 Å; angles 90.00, 90.00, 90.00 degrees
Each line ends with the local moment (μB).
Fractional coordinates of all 5 atoms:
Pb (0.500, 0.000, 0.000)  0.02
Pb (0.000, 0.500, 0.000)  -0.01
Au (0.000, 0.000, 0.000)  -0.01
Zr (0.500, 0.500, 0.500)  0.77
Pb (0.000, 0.000, 0.500)  -0.01

---

[7]
VASP calculation (PBE-GGA) on a relaxed Dy3PbAu2 crystal.

## Properties
space-group type: No. 123
energy of formation: -0.71 eV per atom
ρ: 12075 kg/m3
Fermi-level density of states: 4.146 states/eV/cell

Cell lengths 3.530, 3.530, 12.011 Å; angles 90.00, 90.00, 90.00 degrees
Fractional coordinates of all 6 atoms:
Au (0.500, 0.500, 0.847)
Au (0.500, 0.500, 0.153)
Dy (0.000, 0.000, 0.000)
Pb (0.500, 0.500, 0.500)
Dy (0.000, 0.000, 0.307)
Dy (0.000, 0.000, 0.693)

---

[8]
VASP calculation (PBE-GGA) on a relaxed HoAgBiPd crystal.

## Properties
space-group type: No. 216
energy of formation: -0.47 eV per atom
ρ: 11114 kg/m3
Fermi-level density of states: 2.372 states/eV/cell

Cell lengths 4.990, 4.990, 4.990 Å; angles 60.00, 60.00, 60.00 degrees
Fractional coordinates of all 4 atoms:
Pd (0.750, 0.750, 0.750)
Ag (0.250, 0.250, 0.250)
Bi (0.500, 0.500, 0.500)
Ho (0.000, 0.000, 0.000)

---

[9]
VASP calculation (PBE-GGA) on a relaxed Ac8RuPt3Br3 crystal.

## Properties
space-group type: No. 12
ρ: 8234 kg/m3
Fermi-level density of states: 11.333 states/eV/cell
formation energy (no corrections): -1.107 eV/atom

Cell lengths 8.861, 8.846, 9.627 Å; angles 117.43, 90.00, 120.05 degrees
Fractional coordinates of all 15 atoms:
Ac (0.772, 0.545, 0.303)
Ac (0.773, 0.032, 0.304)
Ac (0.741, 0.968, 0.696)
Pt (0.000, 0.500, 0.500)
Br (0.500, 0.500, 0.000)
Pt (0.500, 0.000, 0.500)
Ac (0.259, 0.032, 0.304)
Ac (0.732, 0.464, 0.697)
Pt (0.500, 0.500, 0.500)
Br (0.000, 0.000, 0.000)
Ru (0.000, 0.000, 0.500)
Br (0.000, 0.500, 0.000)
Ac (0.227, 0.968, 0.696)
Ac (0.228, 0.455, 0.697)
Ac (0.268, 0.536, 0.303)

---

[10]
VASP calculation (PBE-GGA) on a relaxed BaVPd2Pt crystal.

## Properties
space-group type: No. 123
energy of formation: 0.15 eV per atom
ρ: 7946 kg/m3
Fermi-level density of states: 5.041 states/eV/cell

Cell lengths 5.199, 4.609, 5.199 Å; angles 90.00, 90.00, 90.00 degrees
Each line ends with the local moment (μB).
Fractional coordinates of all 5 atoms:
Pd (0.500, 0.000, 0.000)  0.02
V (0.000, 0.500, 0.000)  2.27
Pt (0.000, 0.000, 0.000)  -0.06
Ba (0.500, 0.500, 0.500)  0.03
Pd (0.000, 0.000, 0.500)  -0.01

---

[11]
VASP calculation (PBE-GGA) on a relaxed LiGdTlHg crystal.

## Properties
space-group type: No. 216
energy of formation: -0.39 eV per atom
ρ: 9881 kg/m3
Fermi-level density of states: 2.491 states/eV/cell

Cell lengths 5.133, 5.133, 5.133 Å; angles 60.00, 60.00, 60.00 degrees
Each line ends with the local moment (μB).
Fractional coordinates of all 4 atoms:
Gd (0.750, 0.750, 0.750)  6.99
Hg (0.500, 0.500, 0.500)  0.00
Tl (0.000, 0.000, 0.000)  -0.01
Li (0.250, 0.250, 0.250)  0.00

---

[12]
VASP calculation (PBE-GGA) on a relaxed Li4Re2As crystal.

## Properties
space-group type: No. 139
energy of formation: 0.96 eV per atom
ρ: 5570 kg/m3
Fermi-level density of states: 5.118 states/eV/cell

Cell lengths 4.642, 4.642, 7.346 Å; angles 71.58, 71.58, 90.00 degrees
Each line ends with the local moment (μB).
Fractional coordinates of all 7 atoms:
Re (0.416, 0.416, 0.167)  -0.23
Li (0.186, 0.186, 0.628)  0.00
Li (0.000, 0.500, 0.000)  0.00
Re (0.584, 0.584, 0.833)  -0.23
As (0.000, 0.000, 0.000)  0.01
Li (0.500, 0.000, 0.000)  0.00
Li (0.814, 0.814, 0.372)  0.00

---

Calculated electronic total energy in order - -5.17, -4.23, -7.51, -6.51, -5.56, -3.90, -4.72, -4.60, -5.46, -5.35, -5.05, -4.35 eV per atom
Calculated magnetic moment in order - 0.000, 0.000, 1.519, 0.000, 0.000, 0.239, 0.000, 0.000, 0.017, 0.549, 1.770, 0.083 μB/atom
Calculated volume in order - 93, 88, 85, 247, 67, 164, 150, 88, 553, 125, 96, 142 Å³/cell